VASP calculation (PBE) on a geometry-optimized HfSb3F structure.

Results
Calculated total energy   -24.50 eV for the cell shown
Excess energy over the best structure of this formula in the dataset   84 meV/atom
Total magnetization   0.00 μB/f.u.

Lattice parameters (Å, degrees): 5.4300 5.4300 5.4300 90.00 90.00 90.00
Last column: nearest neighbours and their distance in Å.
Element x y z (fractional)
Hf (0.0000, 0.0000, 0.0000)  6 Sb 2.71
Sb (0.0000, 0.0000, 0.5000)  2 Hf 2.71
Sb (0.0000, 0.5000, 0.0000)  2 Hf 2.71
Sb (0.5000, 0.0000, 0.0000)  2 Hf 2.71
F (0.5000, 0.5000, 0.5000)  12 Sb 3.84

VASP calculation (PBE) on a geometry-optimized HfSb2F2 structure.

Results
Calculated total energy   -27.90 eV for the cell shown
Excess energy over the best structure of this formula in the dataset   0 meV/atom
Total magnetization   0.00 μB/f.u.

Lattice parameters (Å, degrees): 5.2387 5.2387 5.2387 110.68 110.68 107.08
Last column: nearest neighbours and their distance in Å.
Element x y z (fractional)
Hf (0.0000, 0.0000, 0.0000)  2 F 1.94
Sb (0.2500, 0.7500, 0.5000)  4 F 3.00, 2 Sb 3.11, 4 Hf 3.36
Sb (0.7500, 0.2500, 0.5000)  4 F 3.00, 2 Sb 3.11, 4 Hf 3.36
F (0.3120, 0.3120, 0.0000)  1 Hf 1.94
F (0.6880, 0.6880, 0.0000)  1 Hf 1.94

VASP calculation (PBE) on a geometry-optimized HfSb3F structure.

Results
Calculated total energy   -24.91 eV for the cell shown
Excess energy over the best structure of this formula in the dataset   0 meV/atom
Total magnetization   0.00 μB/f.u.

Lattice parameters (Å, degrees): 4.8463 4.8463 4.8463 90.00 90.00 90.00
Last column: nearest neighbours and their distance in Å.
Element x y z (fractional)
Hf (0.0000, 0.0000, 0.0000)  12 Sb 3.43
Sb (0.0000, 0.5000, 0.5000)  2 F 2.42
Sb (0.5000, 0.0000, 0.5000)  2 F 2.42
Sb (0.5000, 0.5000, 0.0000)  2 F 2.42
F (0.5000, 0.5000, 0.5000)  6 Sb 2.42

VASP calculation (PBE) on a geometry-optimized HfSbF2 structure.

Results
Calculated total energy   -50.62 eV for the cell shown
Excess energy over the best structure of this formula in the dataset   0 meV/atom
Total magnetization   0.00 μB/f.u.

Lattice parameters (Å, degrees): 7.7495 7.7495 7.7495 146.05 146.05 48.77
Last column: nearest neighbours and their distance in Å.
Element x y z (fractional)
Hf (0.0000, 0.0000, 0.0000)  4 F 2.10
Hf (0.7500, 0.2500, 0.5000)  4 F 2.10
Sb (0.2500, 0.7500, 0.5000)  8 F 2.95-3.22, 4 Hf 3.20
Sb (0.5000, 0.5000, 0.0000)  8 F 2.95-3.22, 4 Hf 3.20
F (0.3750, 0.1652, 0.2902)  2 Hf 2.10, 2 F 2.29
F (0.8348, 0.1250, 0.2098)  2 Hf 2.10, 2 F 2.29
F (0.8750, 0.0848, 0.7098)  2 Hf 2.10, 2 F 2.29
F (0.9152, 0.6250, 0.7902)  2 Hf 2.10, 2 F 2.29

VASP calculation (PBE) on a geometry-optimized HfSb2F2 structure.

Results
Calculated total energy   -53.19 eV for the cell shown
Excess energy over the best structure of this formula in the dataset   261 meV/atom
Total magnetization   0.00 μB/f.u.

Lattice parameters (Å, degrees): 7.2801 7.2801 3.3371 90.00 90.00 90.00
Last column: nearest neighbours and their distance in Å.
Element x y z (fractional)
Hf (0.0000, 0.0000, 0.0000)  4 F 2.70
Hf (0.5000, 0.5000, 0.0000)  4 F 2.70
Sb (0.1423, 0.3577, 0.5000)  6 F 2.56-2.82
Sb (0.3577, 0.8577, 0.5000)  6 F 2.56-2.82
Sb (0.6423, 0.1423, 0.5000)  6 F 2.56-2.82
Sb (0.8577, 0.6423, 0.5000)  6 F 2.56-2.82
F (0.1693, 0.6693, 0.0000)  6 Sb 2.56-2.82, 2 Hf 2.70
F (0.3307, 0.1693, 0.0000)  6 Sb 2.56-2.82, 2 Hf 2.70
F (0.6693, 0.8307, 0.0000)  6 Sb 2.56-2.82, 2 Hf 2.70
F (0.8307, 0.3307, 0.0000)  6 Sb 2.56-2.82, 2 Hf 2.70

VASP calculation (PBE) on a geometry-optimized HfSbF structure.

Results
Calculated total energy   -42.00 eV for the cell shown
Total magnetization   0.00 μB/f.u.

Lattice parameters (Å, degrees): 5.4854 5.4854 7.3512 118.58 118.58 38.06
Last column: nearest neighbours and their distance in Å.
Element x y z (fractional)
Hf (0.1623, 0.1623, 0.2372)  3 F 2.22-2.32
Hf (0.8377, 0.8377, 0.7628)  3 F 2.22-2.32
Sb (0.4055, 0.4055, 0.1303)  5 Hf 2.96-3.01, 2 Sb 3.32
Sb (0.5945, 0.5945, 0.8697)  5 Hf 2.96-3.01, 2 Sb 3.32
F (0.1948, 0.1948, 0.5594)  3 Hf 2.22-2.32
F (0.8052, 0.8052, 0.4406)  3 Hf 2.22-2.32